Entry from Alexandria: a relaxed structure of Th2BPPt6 (PBE-GGA).

Lattice parameters (Å, degrees): 6.4300 8.3133 6.8011 90.00 90.00 90.00
Space group Pmmn (No. 59, origin choice 2)
Asymmetric unit:
Th (0.2500, 0.0186, 0.2254) [4 per cell]
B (0.2500, 0.2500, 0.6447) [2 per cell]
P (0.2500, 0.7500, 0.8791) [2 per cell]
Pt (0.0290, 0.7500, 0.5090) [4 per cell]
Pt (0.0397, 0.2500, 0.9148) [4 per cell]
Pt (0.2500, 0.5064, 0.6948) [4 per cell]

Computed properties:
Total moment, μB/f.u.: 0.0
Formation energy from the elements, meV/atom: -936.3
Total DFT energy (no corrections), eV per atom: -7.253

Entry from Alexandria: a relaxed structure of Y2BPPt6 (PBE-GGA).

Lattice parameters (Å, degrees): 5.7037 8.4279 7.2977 90.00 90.00 90.00
Space group Pmmn (No. 59, origin choice 2)
Asymmetric unit:
Y (0.2500, 0.0303, 0.2263) [4 per cell]
B (0.2500, 0.2500, 0.7124) [2 per cell]
P (0.2500, 0.7500, 0.8119) [2 per cell]
Pt (0.0052, 0.2500, 0.9364) [4 per cell]
Pt (0.0056, 0.7500, 0.4955) [4 per cell]
Pt (0.2500, 0.5032, 0.6625) [4 per cell]

Computed properties:
Total moment, μB/f.u.: 0.0
Formation energy from the elements, meV/atom: -902.3
Total DFT energy (no corrections), eV per atom: -7.028

Entry from Alexandria: a relaxed structure of ZnB2PPt (PBE-GGA).

Lattice parameters (Å, degrees): 3.9665 3.9665 5.5084 90.00 90.00 90.00
Space group P4/mmm (No. 123)
Asymmetric unit:
Zn (0.0000, 0.0000, 0.0000) [1 per cell]
B (0.0000, 0.5000, 0.5000) [2 per cell]
P (0.5000, 0.5000, 0.0000) [1 per cell]
Pt (0.5000, 0.5000, 0.5000) [1 per cell]

Computed properties:
Total moment, μB/f.u.: 0.0
Formation energy from the elements, meV/atom: 767.3
Total DFT energy (no corrections), eV per atom: -4.449

Entry from Alexandria: a relaxed structure of RbB2P2 (PBE-GGA).

Lattice parameters (Å, degrees): 3.9171 3.9171 11.8442 90.00 90.00 90.00
Space group I4/mmm (No. 139)
Asymmetric unit:
Rb (0.0000, 0.0000, 0.0000) [2 per cell]
B (0.0000, 0.0000, 0.2955) [4 per cell]
P (0.0000, 0.5000, 0.2500) [4 per cell]

Computed properties:
Total moment, μB/f.u.: 0.0
Formation energy from the elements, meV/atom: 411.7
Total DFT energy (no corrections), eV per atom: -4.617